Here is an optimized crystal structure of DyTmZr from Alexandria via LeMat-Bulk. Energies are from GGA-PBE.

```
DyTmZr
1.0
-2.5670 4.2467 -0.3054
-1.4962 -0.6960 2.8967
8.0123 5.0934 3.4783
Dy Tm Zr
2 2 2
direct
0.3469 0.0473 0.5074
0.8469 0.9425 0.3162
0.3469 0.3627 0.1518
0.8469 0.6270 0.6718
0.8468 0.7815 0.9871
0.3468 0.2086 0.8364
```

Output
E above lowest polymorph in meV per atom: 80
Formation energy in eV per atom: 0.120
Magnetization in μB per formula unit: 0.00
Space-group type: P2_1/m (11)

=====

Here is an optimized crystal structure of Dy8Tm3Zr from Alexandria via LeMat-Bulk. Energies are from GGA-PBE.

```
Dy8Tm3Zr
1.0
-1.0900 6.9155 -0.0136
-0.3768 -7.1229 -6.8218
-5.0248 -2.6020 10.1223
Dy Tm Zr
8 3 1
direct
0.0190 0.3456 0.6725
0.9810 0.6544 0.3275
0.0048 0.8408 0.6765
0.5104 0.8370 0.6733
0.5108 0.3468 0.6735
0.4892 0.6532 0.3265
0.4896 0.1630 0.3267
0.9952 0.1592 0.3235
0.5000 0.0000 0.0000
0.5000 0.5000 0.0000
0.0000 0.5000 0.0000
0.0000 0.0000 0.0000
```

Output
Formation energy in eV per atom: 0.038
Magnetization in μB per formula unit: 0.00
Space-group type: C2/m (12)

=====

Here is an optimized crystal structure of Dy8Tm2Zr from Alexandria via LeMat-Bulk. Energies are from GGA-PBE.

```
Dy8Tm2Zr
1.0
-3.6575 1.7543 -2.8120
-2.1391 -7.3199 -1.7844
-2.7985 1.2130 8.7284
Dy Tm Zr
8 2 1
direct
0.5897 0.4449 0.1793
0.3208 0.0891 0.6416
0.1324 0.1764 0.2648
0.0445 0.7363 0.0889
0.8676 0.8236 0.7352
0.6792 0.9109 0.3584
0.4103 0.5551 0.8207
0.9555 0.2637 0.9111
0.2262 0.6342 0.4524
0.7738 0.3658 0.5476
0.5000 0.0000 0.0000
```

Output
E above lowest polymorph in meV per atom: 0
Formation energy in eV per atom: 0.045
Magnetization in μB per formula unit: 0.00
Space-group type: C2/m (12)